Density functional theory data (GGA+U) for Na3CoO3 after structural relaxation.

Structure (extended XYZ):
```
28
Lattice="6.0288 0.0000 0.0000 0.0000 6.5858 -0.0174 0.0000 0.5839 9.8188" Properties=species:S:1:pos:R:3 pbc="T T T"
O 5.6777 4.8294 6.7711
O 5.8247 6.0875 3.8050
O 3.3655 4.5374 1.8617
O 3.2185 6.3794 8.7144
O 2.8103 0.7903 1.0870
O 3.7554 1.9985 4.5771
O 0.2041 1.0823 5.9964
O 2.6633 2.6323 7.9397
O 2.2735 5.1712 5.2243
O 0.3511 2.3404 3.0303
O 5.2879 2.2905 9.4865
O 0.7409 4.8793 0.3149
Na 4.7396 2.7900 6.7075
Na 2.1826 0.7239 3.3627
Na 1.8620 2.7402 5.7275
Na 4.8764 4.7215 8.9833
Na 1.1524 2.4482 0.8181
Na 1.2892 4.3797 3.0939
Na 3.8463 6.4458 6.4387
Na 1.7252 4.6717 8.0033
Na 5.1970 6.1539 1.5293
Na 0.8318 1.0159 8.2722
Na 4.3036 2.4980 1.7981
Na 4.1669 4.4295 4.0739
Co 3.6208 1.6865 9.1356
Co 2.4081 5.4833 0.6658
Co 0.6063 5.7752 5.5752
Co 5.4225 1.3945 4.2262
```

## Properties
Energy above the lowest structure with this stoichiometry = 0.009 eV/atom
Symmetry = P2_1/c
Electronic total energy = -4.73 eV per atom



Density functional theory data (GGA+U) for Na3CoO2 after structural relaxation.

Structure (extended XYZ):
```
24
Lattice="-0.0129 3.9967 -2.4184 -8.9300 1.5777 2.6549 3.0882 4.6304 7.6358" Properties=species:S:1:pos:R:3 pbc="T T T"
Na -7.6424 3.1200 5.1969
Na -4.6162 2.6734 4.4427
Na -3.7515 3.4782 1.2564
Na -1.2256 3.5347 5.8480
Na -0.8305 2.8741 0.2424
Na -0.0454 5.0497 8.3455
Na -5.7965 1.1584 1.9452
Na -2.1032 6.7266 6.6159
Na -5.0242 7.3307 7.6299
Na -5.9006 5.7620 5.0421
Na 1.8005 3.0881 5.0938
Na 0.0458 4.4428 2.8303
O 1.7838 5.2808 4.2060
O -5.5186 3.7699 6.2596
O -3.5050 1.6300 2.7125
O 0.2372 6.9244 6.9304
O -6.0918 3.2804 0.9419
O -2.3369 4.5781 7.5783
O -7.6385 4.9239 3.6663
O -0.3233 2.4382 4.0311
Co 0.9590 6.0895 5.5469
Co -3.9527 4.2006 6.9630
Co -6.8137 4.1152 2.3254
Co -1.8892 2.0075 3.3277
```

## Properties
Energy above the lowest structure with this stoichiometry = 0.000 eV/atom
Symmetry = P4_2/mnm
Electronic total energy = -4.30 eV per atom



Density functional theory data (GGA+U) for Na3Co5O12 after structural relaxation.

Structure (extended XYZ):
```
80
Lattice="-8.2954 -6.5317 -0.8631 5.6397 -2.5708 8.5910 -3.4409 9.9794 0.8909" Properties=species:S:1:pos:R:3 pbc="T T T"
O -1.7925 -7.5937 7.0204
O -7.2963 -1.7211 2.3651
O -3.0935 2.1378 3.5141
O -2.5399 3.5799 7.3603
O 0.4476 0.0313 7.0904
O -3.0031 -1.2609 5.1047
O -0.9953 5.5486 8.2527
O -1.2410 -2.8144 3.1583
O -3.0425 5.0752 4.1084
O -4.5668 -2.9035 6.7508
O -3.0541 -4.1983 4.5104
O -4.3041 8.4705 1.5984
O -7.1003 -4.3394 2.7701
O -5.8252 -0.0330 6.9999
O -0.6618 7.1283 4.1523
O -5.6522 -2.1542 -0.2797
O -0.4444 3.0311 8.8985
O 1.1996 2.5979 6.2537
O 1.0036 5.2163 5.8486
O -3.4007 5.4992 1.1085
O -8.1083 3.0781 2.8984
O 3.9941 -1.9332 7.9526
O -4.9156 0.3174 4.1655
O -1.7287 0.2807 8.5937
O -1.5298 3.7804 1.8680
O -5.1014 -4.6717 0.3661
O -3.2336 1.2294 6.0013
O 3.1022 1.0813 8.0042
O -6.5442 0.8456 1.5284
O -3.5567 -2.7030 1.2585
O -5.3243 -2.6903 3.8586
O -5.4962 4.8117 3.1383
O -7.2248 1.6812 4.9784
O -2.6960 -4.6223 7.5103
O -2.8630 -0.3525 2.6175
O -1.1810 0.5595 4.4533
O -4.3680 0.5962 0.0251
O 2.0116 -2.2012 5.7204
O -0.7723 3.5672 4.7602
O -10.0907 2.8101 0.6662
O -9.1988 -0.2044 0.6146
O -0.2714 0.9099 1.6189
O -4.9650 2.9424 1.1192
O -5.4348 -6.2514 4.4665
O 1.1282 -0.8044 3.6404
O -0.6004 -3.9348 5.4805
O -4.8557 3.6912 5.4605
O -1.1316 -2.0656 7.4996
Na 1.3171 4.4186 8.0774
Na -3.4588 -6.3959 5.7994
Na -1.0316 1.8596 6.6764
Na -2.6592 1.7880 1.1922
Na -0.4462 -1.5613 5.2684
Na -3.4374 -0.9111 7.4266
Na -5.6504 2.4382 3.3503
Na -5.0650 -0.9827 1.9424
Na -4.5368 -4.6154 2.6856
Na -1.5598 5.4923 5.9332
Na -7.4137 -3.5417 0.5414
Na -2.6378 7.2728 2.8194
Co -4.9865 4.7138 1.4184
Co -3.0483 0.4384 4.3094
Co -3.9657 2.7215 6.6834
Co -8.5274 3.5118 1.2061
Co -6.3144 0.1626 5.2823
Co -5.8682 1.7239 0.0139
Co 2.8198 -1.2854 4.2955
Co -2.1310 -1.8447 1.9354
Co 0.2177 0.7143 3.3365
Co -7.9991 -0.1208 1.9493
Co 2.4308 -2.6350 7.4127
Co 0.0000 0.0000 0.0000
Co 1.9025 0.9977 6.6695
Co -1.7205 4.9897 0.4454
Co -3.9871 -2.7632 5.0561
Co -2.1095 3.6401 3.5627
Co -1.3279 -4.5512 3.8640
Co -4.1477 -3.2658 -0.4316
Co 1.0994 3.7043 4.7410
Co -1.1101 -3.8369 7.2004
```

## Properties
Symmetry = Ia-3d
Electronic total energy = -5.27 eV per atom



Density functional theory data (GGA+U) for Na2Co3O6 after structural relaxation.

Structure (extended XYZ):
```
22
Lattice="-2.8751 5.9408 -1.8850 1.2312 -3.6371 -5.6893 -6.1944 -2.8459 0.4788" Properties=species:S:1:pos:R:3 pbc="T T T"
Na -4.5428 0.9234 -4.5173
Na -1.0564 1.6987 -3.5700
Na -2.2290 -4.2131 -5.1136
Na -3.9836 0.1397 -1.9407
O -3.8141 -4.0617 -3.2529
O -6.2522 1.0846 -2.6291
O -4.9126 -2.0023 -2.4281
O -4.2355 4.5156 -2.0233
O -2.3756 0.1773 -5.1771
O -1.8307 -0.5864 -2.6663
O -5.4575 -1.2386 -4.9388
O -4.3742 -3.2768 -5.8338
O -1.0874 -2.8090 -3.4637
O -3.3251 2.4295 -2.8553
O -7.1358 3.1831 -1.7991
O -1.6475 -2.0240 -6.0446
Co -4.0282 3.9001 -3.7122
Co -6.4642 1.7485 -0.9244
Co -7.0191 2.5260 -3.4810
Co -3.4733 3.1226 -1.1556
Co -4.6620 -2.6813 -4.1196
Co -1.6942 -1.3178 -4.3490
```

## Properties
Energy above the lowest structure with this stoichiometry = 0.206 eV/atom
Symmetry = Amm2
Electronic total energy = -5.31 eV per atom



Density functional theory data (GGA+U) for Na3CoO3 after structural relaxation.

Structure (extended XYZ):
```
28
Lattice="7.6841 0.0000 0.0000 0.0000 6.1180 0.0071 0.0000 6.0511 9.0346" Properties=species:S:1:pos:R:3 pbc="T T T"
Co 2.6962 6.5185 3.2157
Co 6.5383 2.6250 1.3087
Co 4.9879 5.6505 5.8260
Co 1.1458 9.5441 7.7330
O 2.7975 8.2768 3.4055
O 5.9545 6.5079 4.6112
O 7.0571 3.4027 2.8281
O 3.2151 5.7409 1.6962
O 4.4691 6.4282 7.3454
O 6.6396 0.8667 1.1188
O 0.6270 8.7664 6.2135
O 4.8867 3.8922 5.6361
O 5.5717 3.4824 0.0939
O 2.1124 8.6867 8.9477
O 1.7296 5.6611 4.4304
O 1.0446 11.3024 7.9228
Na 5.0503 8.5154 3.9087
Na 6.4759 11.5410 8.4260
Na 5.6310 5.4115 2.4764
Na 0.2382 7.6443 4.1755
Na 2.6339 3.6536 5.1330
Na 1.2082 0.6281 0.6157
Na 2.0532 6.7576 6.5652
Na 5.8953 8.4370 6.9937
Na 4.0803 1.4993 0.3489
Na 7.4459 4.5248 4.8661
Na 1.7889 3.7321 2.0480
Na 3.6039 10.6698 8.6928
```

## Properties
Energy above the lowest structure with this stoichiometry = 0.020 eV/atom
Symmetry = P2_1/c
Electronic total energy = -4.72 eV per atom



Density functional theory data (GGA+U) for Na6CoO4 after structural relaxation.

Structure (extended XYZ):
```
22
Lattice="5.4883 0.0000 0.0000 0.0000 7.4806 0.0000 0.0000 0.0000 7.4806" Properties=species:S:1:pos:R:3 pbc="T T T"
Na 0.0000 5.3347 5.3347
Na 0.0000 5.3347 2.1459
Na 2.7441 1.5944 5.8862
Na 0.0000 2.1459 5.3347
Na 2.7441 1.5944 1.5944
Na 0.0000 2.1459 2.1459
Na 2.7441 5.8862 5.8862
Na 2.7441 5.8862 1.5944
Na 2.2334 3.7403 0.0000
Na 4.9775 3.7403 0.0000
Na 3.2549 0.0000 3.7403
Na 0.5108 0.0000 3.7403
O 4.5018 0.0000 1.8292
O 0.9865 1.8292 0.0000
O 3.7306 3.7403 5.5695
O 0.9865 5.6514 0.0000
O 1.7577 5.5695 3.7403
O 4.5018 0.0000 5.6514
O 3.7306 3.7403 1.9111
O 1.7577 1.9111 3.7403
Co 2.7441 3.7403 3.7403
Co 0.0000 0.0000 0.0000
```

## Properties
Energy above the lowest structure with this stoichiometry = 0.026 eV/atom
Symmetry = P4_2/nmc
Electronic total energy = -4.18 eV per atom



Density functional theory data (GGA+U) for NaCoO2 after structural relaxation.

Structure (extended XYZ):
```
16
Lattice="-0.4256 1.2332 5.2745 2.7759 -4.9377 1.3785 6.1221 3.3603 -0.2917" Properties=species:S:1:pos:R:3 pbc="T T T"
O 6.9638 0.7505 2.3290
O 4.7770 -2.2466 5.6519
O 7.1732 -0.3671 5.8485
O 3.6231 -1.4154 3.0086
O 3.6128 2.1419 1.7332
O 4.6993 1.5057 5.2110
O 1.1492 0.4574 2.3710
O 1.4259 -0.8553 5.0561
Co 4.6648 -2.7492 3.8382
Co 1.7765 -1.1039 3.2205
Co 4.0172 1.7974 -0.0757
Co 6.9055 0.1521 0.5421
Na 4.7668 0.6226 3.0165
Na 0.5423 1.2499 5.3275
Na 3.4960 -0.3595 5.9422
Na 7.7205 -0.9868 3.6312
```

## Properties
Symmetry = Pna2_1
Electronic total energy = -5.28 eV per atom



Density functional theory data (GGA+U) for Na2Co3O4 after structural relaxation.

Structure (extended XYZ):
```
18
Lattice="7.9087 0.5173 -0.0837 5.5894 5.6190 -0.0837 1.6044 0.7294 5.4540" Properties=species:S:1:pos:R:3 pbc="T T T"
Na 2.0682 1.4295 3.0489
Na 1.6347 0.2539 0.3219
Na 13.4677 6.6118 4.9647
Na 13.0342 5.4362 2.2377
Co 9.7093 5.0393 2.0763
Co 10.9827 4.3675 4.8033
Co 5.3930 1.8264 3.2103
Co 7.2274 3.0805 1.2798
Co 4.1197 2.4982 0.4833
Co 7.8750 3.7852 4.0068
O 5.6107 3.8557 0.2787
O 7.7062 4.8083 2.2809
O 7.3962 2.0574 3.0057
O 5.0154 1.0078 1.3693
O 10.2434 3.3845 1.1903
O 10.0870 5.8579 3.9173
O 9.4916 3.0100 5.0080
O 4.8589 3.4812 4.0963
```

## Properties
Symmetry = C2/c
Electronic total energy = -5.31 eV per atom



Density functional theory data (GGA+U) for Na3CoO3 after structural relaxation.

Structure (extended XYZ):
```
28
Lattice="4.4954 0.0000 0.0000 0.0000 9.2287 0.0000 0.0000 0.0000 9.2364" Properties=species:S:1:pos:R:3 pbc="T T T"
Na 2.2477 7.8561 1.3758
Na 0.0000 8.0273 3.4490
Na 0.0000 5.9869 5.9940
Na 0.0000 3.2418 3.2424
Na 0.0000 1.2014 5.7874
Na 2.2477 1.3726 7.8606
Na 2.2477 5.8158 8.0672
Na 0.0000 5.7822 1.2020
Na 2.2477 8.0609 5.8202
Na 0.0000 3.4465 8.0344
Na 2.2477 1.1678 3.4162
Na 2.2477 3.4129 1.1692
Co 0.0000 8.1931 8.2011
Co 2.2477 3.5788 5.6535
Co 2.2477 5.6499 3.5829
Co 0.0000 1.0356 1.0353
O 2.2477 7.4572 3.6653
O 2.2477 3.6617 7.4603
O 0.0000 8.2761 6.3943
O 0.0000 6.3858 8.2835
O 0.0000 0.9526 2.8421
O 0.0000 8.3478 0.8804
O 2.2477 5.4952 5.4986
O 2.2477 3.7335 3.7378
O 0.0000 2.8429 0.9529
O 2.2477 1.7715 5.5711
O 0.0000 0.8809 8.3560
O 2.2477 5.5670 1.7761
```

## Properties
Energy above the lowest structure with this stoichiometry = 0.060 eV/atom
Symmetry = P4_2/mnm
Electronic total energy = -4.68 eV per atom



Density functional theory data (GGA+U) for Na3Co2O4 after structural relaxation.

Structure (extended XYZ):
```
18
Lattice="-1.3587 1.5889 4.5016 -3.7155 -2.5381 -2.0947 3.6375 -8.7923 4.2012" Properties=species:S:1:pos:R:3 pbc="T T T"
Na 0.6316 -6.2974 5.5873
Na -0.8226 -6.0443 2.6215
Na 0.5206 -9.2910 4.1728
Na -1.9573 -0.4505 2.4352
Na -2.0683 -3.4441 1.0207
Na -0.6141 -3.6972 3.9865
O -0.5457 -8.1988 6.1512
O -0.8910 -1.5427 0.4568
O -1.5412 -5.7924 5.0014
O -2.7533 -4.4837 2.9622
O 0.1045 -3.9491 1.6066
O -3.7489 -2.0773 1.8124
O 2.3122 -7.6642 4.7957
O 1.3166 -5.2578 3.6458
Co 0.0000 0.0000 0.0000
Co 1.8187 -4.3962 2.1006
Co -0.6351 -0.9345 5.0319
Co -0.8016 -8.8070 1.5761
```

## Properties
Symmetry = Cmcm
Electronic total energy = -5.00 eV per atom



Density functional theory data (GGA+U) for Na3CoO3 after structural relaxation.

Structure (extended XYZ):
```
28
Lattice="11.0648 0.0000 0.0000 0.0000 3.9815 0.0055 0.0000 2.0717 10.0175" Properties=species:S:1:pos:R:3 pbc="T T T"
Co 3.4201 4.7878 7.5687
Co 7.6448 1.2655 2.4543
Co 2.1124 3.7519 2.5600
Co 8.9525 2.3013 7.4631
Na 8.0773 3.0013 4.8144
Na 10.2989 3.8673 1.3549
Na 6.2984 4.9032 6.3636
Na 8.5200 4.0372 9.8231
Na 4.7665 1.1501 3.6594
Na 2.9876 3.0520 5.2087
Na 5.7063 2.9334 8.8558
Na 2.5449 2.0161 0.1999
Na 0.1739 4.1557 6.1760
Na 0.7660 2.1859 8.6681
Na 5.3586 3.1199 1.1672
Na 10.8910 1.8975 3.8471
O 7.3014 2.9088 7.1626
O 9.5371 2.0221 9.1141
O 1.0321 3.8841 3.9734
O 3.7635 3.1445 2.8605
O 10.0328 2.1691 6.0496
O 9.2959 1.8729 2.1538
O 4.5004 4.9200 8.9822
O 4.0046 5.0671 5.9176
O 7.0602 0.9862 4.1054
O 1.7689 4.1804 7.8692
O 1.5278 4.0312 0.9089
O 6.5645 1.1333 1.0409
```

## Properties
Energy above the lowest structure with this stoichiometry = 0.017 eV/atom
Symmetry = P2_1/c
Electronic total energy = -4.72 eV per atom



Density functional theory data (GGA+U) for Na4CoO5 after structural relaxation.

Structure (extended XYZ):
```
10
Lattice="4.5343 0.0000 2.1870 2.2672 5.0601 1.0935 0.0689 0.0000 5.6512" Properties=species:S:1:pos:R:3 pbc="T T T"
Co 0.2662 0.0000 0.1284
Na 5.5254 4.0608 6.1134
Na 2.8434 1.9541 5.8799
Na 4.1734 3.1060 3.1225
Na 1.4915 0.9993 2.8889
O 4.9359 1.5758 7.0499
O 3.8112 0.8545 3.5877
O 2.9820 4.2055 5.3068
O 1.9093 0.0000 0.9209
O 1.8573 3.4843 1.8446
```

## Properties
Symmetry = I4
Electronic total energy = -4.59 eV per atom